Computed, not measured: a geometry-optimized ErCu3Ni4O12 structure at the GGA+U level of DFT.

Values from the calculation:
- raw total energy (eV/f.u.) = -106.36

Cell lengths 7.2718, 7.2718, 7.2718 Å; angles 90.00, 90.00, 90.00 degrees
Space group Im-3 (No. 204)
Symmetry-distinct sites (fractional):
Er 0.0000 0.0000 0.0000 [2 per cell]
Cu 0.0000 0.0000 0.5000 [6 per cell]
Ni 0.2500 0.2500 0.2500 [8 per cell]
O 0.0000 0.3052 0.1680 [24 per cell]